Here is a geometry-optimized Nb2TcPb structure from Alexandria. Energies are from PBE.

```
data_Nb2TcPb
_space_group_name_H-M_alt 'I -4 2 d'
_space_group_IT_number 122
_space_group_name_Hall 'I -4 2bw'
_cell_length_a 3.9954
_cell_length_b 3.9954
_cell_length_c 20.0714
_cell_angle_alpha 90.00
_cell_angle_beta 90.00
_cell_angle_gamma 90.00
loop_
_atom_site_label
_atom_site_fract_x
_atom_site_fract_y
_atom_site_fract_z
Nb1 0.2491 0.2500 0.1250
Tc1 0.0000 0.0000 0.5000
Pb1 0.0000 0.0000 0.0000
```

Properties
Total energy, eV per atom: -7.750

---

Here is a geometry-optimized Sm6As3S2Cl structure from Alexandria. Energies are from PBE.

```
data_Sm6As3S2Cl
_space_group_name_H-M_alt 'C 1 2/m 1'
_space_group_IT_number 12
_cell_length_a 17.9787
_cell_length_b 4.1399
_cell_length_c 8.2385
_cell_angle_alpha 90.00
_cell_angle_beta 102.43
_cell_angle_gamma 90.00
loop_
_space_group_symop_operation_xyz
'x,y,z'
'-x,-y,-z'
'-x,y,-z'
'x,-y,z'
'x+1/2,y+1/2,z'
'-x+1/2,-y+1/2,-z'
'-x+1/2,y+1/2,-z'
'x+1/2,-y+1/2,z'
loop_
_atom_site_label
_atom_site_fract_x
_atom_site_fract_y
_atom_site_fract_z
Sm1 0.0031 0.0000 0.2673
Sm2 0.1688 0.5000 0.5823
Sm3 0.1750 0.5000 0.0920
As1 0.0000 0.5000 0.5000
As2 0.1621 0.0000 0.8350
S1 0.1664 0.0000 0.3317
Cl1 0.0000 0.5000 0.0000
```

Properties
Uncorrected formation energy, eV per atom: -1.7106
Total energy, eV per atom: -6.074

---

Here is a geometry-optimized Sc6IrRu structure from Alexandria. Energies are from PBE.

```
data_Sc6IrRu
_space_group_name_H-M_alt 'I 4/m m m'
_space_group_IT_number 139
_space_group_name_Hall '-I 4 2'
_cell_length_a 4.5632
_cell_length_b 4.5632
_cell_length_c 16.1226
_cell_angle_alpha 90.00
_cell_angle_beta 90.00
_cell_angle_gamma 90.00
loop_
_atom_site_label
_atom_site_fract_x
_atom_site_fract_y
_atom_site_fract_z
Sc1 0.0000 0.0000 0.2486
Sc2 0.0000 0.5000 0.0977
Ir1 0.0000 0.0000 0.5000
Ru1 0.0000 0.0000 0.0000
```

Properties
Total energy, eV per atom: -7.424